Y2SiPd | PBE | optimized geometry

Properties
The calculation puts the formation energy from raw total energies at -0.85 eV/atom.

a b c (Å): 5.8210 4.2687 7.8264
angles (deg): 90.00 110.30 90.00
Element x y z (fractional)
Y 0.2175 0.2500 0.4189
Y 0.2207 0.2500 0.9373
Y 0.7793 0.7500 0.0627
Y 0.7825 0.7500 0.5811
Si 0.3357 0.7500 0.7083
Si 0.6643 0.2500 0.2917
Pd 0.3643 0.7500 0.2156
Pd 0.6357 0.2500 0.7844